Run P
# BaPtW3, relaxed, DFT GGA-PBE
# magnetic moment	0.0	μB/cell
# V	116.86	Å³ per cell
data_BaPtW3
_space_group_name_H-M_alt 'P 1'
_space_group_IT_number 1
_cell_length_a 4.889
_cell_length_b 4.889
_cell_length_c 4.889
_cell_angle_alpha 90.00
_cell_angle_beta 90.00
_cell_angle_gamma 90.00
loop_
_space_group_symop_operation_xyz
'x,y,z'
loop_
_atom_site_label
_atom_site_fract_x
_atom_site_fract_y
_atom_site_fract_z
Ba1 0.000 0.000 0.000
Pt1 0.500 0.500 0.500
W1 0.000 0.000 0.500
W2 0.000 0.500 0.000
W3 0.500 0.000 0.000

---

Run Q
# BaPtW3, relaxed, DFT GGA-PBE
# magnetic moment	2.7	μB/cell
# V	123.81	Å³ per cell
data_BaPtW3
_space_group_name_H-M_alt 'P 1'
_space_group_IT_number 1
_cell_length_a 4.984
_cell_length_b 4.984
_cell_length_c 4.984
_cell_angle_alpha 90.00
_cell_angle_beta 90.00
_cell_angle_gamma 90.00
loop_
_space_group_symop_operation_xyz
'x,y,z'
loop_
_atom_site_label
_atom_site_fract_x
_atom_site_fract_y
_atom_site_fract_z
Ba1 0.000 0.000 0.000
Pt1 0.500 0.500 0.500
W1 0.000 0.500 0.500
W2 0.500 0.000 0.500
W3 0.500 0.500 0.000

---

Ranking the structures above by stability puts run Q first and run P last.